A relaxed AlTePb2 crystal, computed with GGA-PBEsol.

a b c (Å): 5.327 5.327 3.813
angles (deg): 90.00 90.00 90.00
Space group P4/mmm (No. 123)
Symmetry-distinct sites (fractional):
Al (0.000, 0.000, 0.000) [1 per cell]
Te (0.500, 0.500, 0.000) [1 per cell]
Pb (0.000, 0.500, 0.500) [2 per cell]

## Properties
**Formation energy without anion corrections**: 34 kJ/mol of formula units
**Theoretical density**: 8.73 g/cm3
**Energy above the most stable polymorph in this dataset**: 4.4 kJ/mol of atoms
**Volume**: 108 Å³ per cell
**Total moment**: 0.0 μB/f.u.
**E**: -3.81 eV per atom